(1)
# Ba2YTa, optimized geometry, DFT GGA-PBEsol
# - total moment (μB per formula unit) = 0.0
data_Ba2YTa
_chemical_formula_sum 'Ba2 Y1 Ta1'
_space_group_name_H-M_alt 'P 1'
_space_group_IT_number 1
_cell_length_a 4.915
_cell_length_b 4.915
_cell_length_c 6.293
_cell_angle_alpha 112.98
_cell_angle_beta 112.98
_cell_angle_gamma 90.00
loop_
_space_group_symop_operation_xyz
'x,y,z'
loop_
_atom_site_label
_atom_site_type_symbol
_atom_site_fract_x
_atom_site_fract_y
_atom_site_fract_z
Ba1 Ba 0.750 0.250 0.500
Ba2 Ba 0.250 0.750 0.500
Ta1 Ta 0.500 0.500 0.000
Y1 Y 0.000 0.000 0.000


(2)
# Ba2YTa, optimized geometry, DFT GGA-PBEsol
# - total moment (μB per formula unit) = 0.0
data_Ba2YTa
_chemical_formula_sum 'Ba2 Y1 Ta1'
_space_group_name_H-M_alt 'P 1'
_space_group_IT_number 1
_cell_length_a 3.460
_cell_length_b 3.460
_cell_length_c 12.284
_cell_angle_alpha 81.90
_cell_angle_beta 81.90
_cell_angle_gamma 60.00
loop_
_space_group_symop_operation_xyz
'x,y,z'
loop_
_atom_site_label
_atom_site_type_symbol
_atom_site_fract_x
_atom_site_fract_y
_atom_site_fract_z
Ba1 Ba 0.241 0.241 0.276
Ba2 Ba 0.759 0.759 0.724
Ta1 Ta 0.500 0.500 0.500
Y1 Y 0.000 0.000 0.000


(2) ends up most stable, edging out the next structure by 0.068 eV/atom.


(1)
# Ba2ZrTa, optimized geometry, DFT GGA-PBEsol
# - total moment (μB per formula unit) = 0.0
data_Ba2ZrTa
_chemical_formula_sum 'Ba2 Zr1 Ta1'
_space_group_name_H-M_alt 'P 1'
_space_group_IT_number 1
_cell_length_a 4.458
_cell_length_b 4.458
_cell_length_c 6.484
_cell_angle_alpha 110.11
_cell_angle_beta 110.11
_cell_angle_gamma 90.00
loop_
_space_group_symop_operation_xyz
'x,y,z'
loop_
_atom_site_label
_atom_site_type_symbol
_atom_site_fract_x
_atom_site_fract_y
_atom_site_fract_z
Ba1 Ba 0.750 0.250 0.500
Ba2 Ba 0.250 0.750 0.500
Ta1 Ta 0.500 0.500 0.000
Zr1 Zr 0.000 0.000 0.000


(2)
# Ba2ZrTa, optimized geometry, DFT GGA-PBEsol
# - total moment (μB per formula unit) = 0.9
data_Ba2ZrTa
_chemical_formula_sum 'Ba2 Zr1 Ta1'
_space_group_name_H-M_alt 'P 1'
_space_group_IT_number 1
_cell_length_a 3.480
_cell_length_b 3.480
_cell_length_c 11.836
_cell_angle_alpha 81.55
_cell_angle_beta 81.55
_cell_angle_gamma 60.00
loop_
_space_group_symop_operation_xyz
'x,y,z'
loop_
_atom_site_label
_atom_site_type_symbol
_atom_site_fract_x
_atom_site_fract_y
_atom_site_fract_z
Ba1 Ba 0.988 0.988 0.035
Ba2 Ba 0.766 0.766 0.703
Ta1 Ta 0.511 0.511 0.467
Zr1 Zr 0.235 0.235 0.295


(2) ends up most stable, edging out the next structure by 0.315 eV/atom.


(1)
# BaTc3, optimized geometry, DFT GGA-PBEsol
# - total moment (μB per formula unit) = 6.3
data_BaTc3
_chemical_formula_sum 'Ba1 Tc3'
_space_group_name_H-M_alt 'P 1'
_space_group_IT_number 1
_cell_length_a 5.013
_cell_length_b 5.013
_cell_length_c 5.013
_cell_angle_alpha 90.00
_cell_angle_beta 90.00
_cell_angle_gamma 90.00
loop_
_space_group_symop_operation_xyz
'x,y,z'
loop_
_atom_site_label
_atom_site_type_symbol
_atom_site_fract_x
_atom_site_fract_y
_atom_site_fract_z
Ba1 Ba 0.000 0.000 0.000
Tc1 Tc 0.500 0.000 0.000
Tc2 Tc 0.000 0.500 0.000
Tc3 Tc 0.000 0.000 0.500


(2)
# BaTc3, optimized geometry, DFT GGA-PBEsol
# - total moment (μB per formula unit) = 0.0
data_BaTc3
_chemical_formula_sum 'Ba1 Tc3'
_space_group_name_H-M_alt 'P 1'
_space_group_IT_number 1
_cell_length_a 2.942
_cell_length_b 3.522
_cell_length_c 7.728
_cell_angle_alpha 90.00
_cell_angle_beta 90.00
_cell_angle_gamma 90.00
loop_
_space_group_symop_operation_xyz
'x,y,z'
loop_
_atom_site_label
_atom_site_type_symbol
_atom_site_fract_x
_atom_site_fract_y
_atom_site_fract_z
Ba1 Ba 0.000 0.000 0.000
Tc1 Tc 0.500 0.500 0.659
Tc2 Tc 0.000 0.000 0.500
Tc3 Tc 0.500 0.500 0.341


(2) ends up most stable, edging out the next structure by 3.531 eV/atom.